The following is a PBE calculation of a geometry-optimized Ce2HoErSe4 structure, from Alexandria.

abc: 7.0812 4.0764 7.2699
angles: 90.00 108.84 90.00
Last column: nearest neighbours and their distance in Å.
Fractional coordinates of all 8 atoms:
Ce 0.0000 0.0000 0.0000  6 Se 2.98
Ce 0.5000 0.5000 0.0000  6 Se 2.98
Ho 0.0000 0.5000 0.5000  6 Se 2.86
Er 0.5000 0.0000 0.5000  6 Se 2.85-2.86
Se 0.2459 0.0000 0.7354  1 Er 2.86, 2 Ho 2.86, 3 Ce 2.98
Se 0.2560 0.5000 0.2652  2 Er 2.85, 1 Ho 2.86, 3 Ce 2.98
Se 0.7440 0.5000 0.7348  2 Er 2.85, 1 Ho 2.86, 3 Ce 2.98
Se 0.7541 0.0000 0.2646  1 Er 2.86, 2 Ho 2.86, 3 Ce 2.98

Uncorrected formation energy: -14.2 eV/f.u.
Calculated volume: 199 Å³/cell
Electronic total energy: -6.148 eV/atom